Density functional theory data (PBE) for crystalline Fe2ReSn at its relaxed geometry.

Results
- Fermi-level density of states (states/eV per atom) = 1.125
- crystal system = tetragonal
- uncorrected energy (eV per atom) = -7.5503
- formation energy (eV/atom) = 0.79
- magnetization (μB per formula unit) = 0.00

Geometry as CIF:
```
data_Fe2ReSn
_space_group_name_H-M_alt 'I -4 2 d'
_space_group_IT_number 122
_space_group_name_Hall 'I -4 2bw'
_cell_length_a 6.806
_cell_length_b 6.806
_cell_length_c 5.465
_cell_angle_alpha 90.00
_cell_angle_beta 90.00
_cell_angle_gamma 90.00
loop_
_atom_site_label
_atom_site_type_symbol
_atom_site_fract_x
_atom_site_fract_y
_atom_site_fract_z
_atom_site_occupancy
Fe1 Fe 0.207 0.250 0.125 1
Re1 Re 0.000 0.000 0.000 1
Sn1 Sn 0.000 0.000 0.500 1
```